The following is a DFT calculation (PBE with a Hubbard U) of crystalline HfScMn2O6 at its relaxed geometry.

```
10
Lattice="-2.756 2.529 3.754 1.441 -0.426 5.095 2.379 4.516 2.475" Properties=species:S:1:pos:R:3 pbc="T T T"
O 2.057 3.499 4.511
O -0.681 2.582 4.089
Sc 0.231 4.206 8.601
Hf -0.230 0.981 2.910
O 1.586 4.158 7.023
Mn 0.444 3.192 5.673
O -1.013 3.206 7.094
O 0.024 5.082 5.103
Mn 2.119 4.173 2.518
O 1.263 1.373 6.143
```

## Properties
uncorrected energy: -86.2 eV for the cell shown
D(E_F): 0.00 states/eV per cell